Entry from Alexandria via LeMat-Bulk: Sc2HO after structural relaxation (GGA-PBE).

Output
Density of states at the Fermi level ... 4.59 states/eV/f.u.
Density ... 3.17 g/cm³
Offset from the most stable computed form ... 1.340 eV/f.u.
Symmetry ... R-3m
Total moment ... 0.000 μB per cell

Cell lengths 6.372, 6.372, 6.372 Å; angles 29.64, 29.64, 29.64 degrees
Sites, in units of the cell vectors:
Sc  0.098  0.098  0.098
Sc  0.902  0.902  0.902
H  0.000  0.000  0.000
O  0.500  0.500  0.500

=====

Entry from Alexandria via LeMat-Bulk: ScHO2 after structural relaxation (GGA-PBE).

Output
Density of states at the Fermi level ... 0.00 states/eV/f.u.
Density ... 3.16 g/cm³
Calculated total energy ... -7.468 eV per atom
Symmetry ... P6_3/mmc
Total moment ... 0.000 μB per cell

Cell lengths 3.234, 3.234, 9.062 Å; angles 90.00, 90.00, 120.00 degrees
Sites, in units of the cell vectors:
Sc  0.000  0.000  0.000
Sc  0.000  0.000  0.500
H  0.333  0.667  0.250
H  0.667  0.333  0.750
O  0.333  0.667  0.116
O  0.333  0.667  0.384
O  0.667  0.333  0.616
O  0.667  0.333  0.884

=====

Entry from Alexandria via LeMat-Bulk: SrScH2O after structural relaxation (GGA-PBE).

Output
Density of states at the Fermi level ... 1.96 states/eV/f.u.
Density ... 3.76 g/cm³
Calculated total energy ... -5.371 eV per atom
Symmetry ... P4/mmm
Total moment ... 0.225 μB per cell

Cell lengths 3.995, 3.995, 4.166 Å; angles 90.00, 90.00, 90.00 degrees
Sites, in units of the cell vectors:
Sr  0.000  0.000  0.000
Sc  0.500  0.500  0.500
H  0.000  0.500  0.500
H  0.500  0.000  0.500
O  0.500  0.500  0.000

=====

Entry from Alexandria via LeMat-Bulk: SrScHO2 after structural relaxation (GGA-PBE).

Output
Density of states at the Fermi level ... 0.00 states/eV/f.u.
Density ... 4.14 g/cm³
Calculated total energy ... -6.699 eV per atom
Symmetry ... P4/mmm
Total moment ... 0.000 μB per cell

Cell lengths 4.145, 4.145, 3.870 Å; angles 90.00, 90.00, 90.00 degrees
Sites, in units of the cell vectors:
Sr  0.000  0.000  0.000
Sc  0.500  0.500  0.500
H  0.500  0.500  0.000
O  0.000  0.500  0.500
O  0.500  0.000  0.500

=====

Entry from Alexandria via LeMat-Bulk: ScUH2O6 after structural relaxation (GGA-PBE).

Output
Density of states at the Fermi level ... 6.93 states/eV/f.u.
Density ... 5.24 g/cm³
Calculated total energy ... -7.695 eV per atom
Symmetry ... P-1
Total moment ... 0.662 μB per cell

Cell lengths 5.119, 5.276, 5.729 Å; angles 62.73, 66.97, 64.84 degrees
Sites, in units of the cell vectors:
Sc  0.000  0.000  0.000
U  0.500  0.500  0.500
H  0.100  0.285  0.231
H  0.900  0.715  0.769
O  0.077  0.753  0.757
O  0.264  0.613  0.245
O  0.373  0.140  0.734
O  0.627  0.860  0.266
O  0.736  0.387  0.755
O  0.923  0.247  0.243